Entry P
{"formula": "CaPdAu2", "functional": "PBE", "state": "optimized geometry", "volume_a3_per_cell": 89.9, "lattice_angstrom": [[-1.922, 2.017, 5.795], [1.922, -2.017, 5.795], [1.922, 2.017, -5.795]], "species": ["Ca", "Pd", "Au", "Au"], "frac_coords": [[0.000, 0.000, 0.000], [0.500, 0.500, 0.000], [0.270, 0.270, 0.000], [0.730, 0.730, 0.000]]}

---

Entry Q
{"formula": "CaPdAu2", "functional": "PBE", "state": "optimized geometry", "volume_a3_per_cell": 79.4, "lattice_angstrom": [[3.711, 0.000, 0.000], [0.000, 3.711, 0.000], [0.000, 0.000, 5.769]], "species": ["Ca", "Pd", "Au", "Au"], "frac_coords": [[0.000, 0.000, 0.000], [0.000, 0.000, 0.500], [0.500, 0.500, 0.260], [0.500, 0.500, 0.740]]}

---

Top of the stability list: entry Q, leading by 0.263 eV/atom.

---

Entry P
{"formula": "CaPdAu2", "functional": "PBE", "state": "optimized geometry", "volume_a3_per_cell": 543.8, "lattice_angstrom": [[10.035, 0.000, 0.000], [0.000, 10.035, 0.000], [0.000, 0.000, 5.401]], "species": ["Ca", "Ca", "Ca", "Ca", "Pd", "Pd", "Pd", "Pd", "Au", "Au", "Au", "Au", "Au", "Au", "Au", "Au"], "frac_coords": [[0.250, 0.000, 0.124], [0.250, 0.500, 0.374], [0.750, 0.000, 0.876], [0.750, 0.500, 0.626], [0.250, 0.000, 0.624], [0.250, 0.500, 0.874], [0.750, 0.000, 0.376], [0.750, 0.500, 0.126], [0.000, 0.000, 0.500], [0.000, 0.500, 0.000], [0.250, 0.250, 0.750], [0.250, 0.750, 0.750], [0.500, 0.000, 0.500], [0.500, 0.500, 0.000], [0.750, 0.250, 0.250], [0.750, 0.750, 0.250]]}

---

Entry Q
{"formula": "CaPdAu2", "functional": "PBE", "state": "optimized geometry", "volume_a3_per_cell": 246.2, "lattice_angstrom": [[2.776, 1.603, 9.225], [-2.776, 1.603, 9.225], [0.000, -3.205, 9.225]], "species": ["Ca", "Ca", "Ca", "Pd", "Pd", "Pd", "Au", "Au", "Au", "Au", "Au", "Au"], "frac_coords": [[0.000, 0.000, 0.000], [0.142, 0.142, 0.142], [0.858, 0.858, 0.858], [0.333, 0.333, 0.333], [0.500, 0.500, 0.500], [0.667, 0.667, 0.667], [0.082, 0.585, 0.586], [0.414, 0.415, 0.918], [0.414, 0.919, 0.414], [0.586, 0.082, 0.586], [0.586, 0.586, 0.082], [0.919, 0.414, 0.415]]}

---

Top of the stability list: entry Q, leading by 0.612 eV/atom.

---

Entry P
{"formula": "CaPd3Au", "functional": "PBE", "state": "optimized geometry", "volume_a3_per_cell": 113.4, "lattice_angstrom": [[4.840, 0.000, 0.000], [0.000, 4.840, 0.000], [0.000, 0.000, 4.840]], "species": ["Ca", "Pd", "Pd", "Pd", "Au"], "frac_coords": [[0.000, 0.000, 0.000], [0.000, 0.000, 0.500], [0.000, 0.500, 0.000], [0.500, 0.000, 0.000], [0.500, 0.500, 0.500]]}

---

Entry Q
{"formula": "CaPd3Au", "functional": "PBE", "state": "optimized geometry", "volume_a3_per_cell": 125.6, "lattice_angstrom": [[5.008, 0.000, 0.000], [0.000, 5.008, 0.000], [0.000, 0.000, 5.008]], "species": ["Ca", "Pd", "Pd", "Pd", "Au"], "frac_coords": [[0.000, 0.000, 0.000], [0.000, 0.500, 0.500], [0.500, 0.000, 0.500], [0.500, 0.500, 0.000], [0.500, 0.500, 0.500]]}

---

Top of the stability list: entry Q, leading by 0.490 eV/atom.

---

Entry P
{"formula": "CaPdAu3", "functional": "PBE", "state": "optimized geometry", "volume_a3_per_cell": 106.3, "lattice_angstrom": [[-2.006, 2.006, 6.608], [2.006, -2.006, 6.608], [2.006, 2.006, -6.608]], "species": ["Ca", "Pd", "Au", "Au", "Au"], "frac_coords": [[0.000, 0.000, 0.000], [0.581, 0.581, 0.000], [0.227, 0.727, 0.500], [0.383, 0.383, 0.000], [0.727, 0.227, 0.500]]}

---

Entry Q
{"formula": "CaPdAu3", "functional": "PBE", "state": "optimized geometry", "volume_a3_per_cell": 148.8, "lattice_angstrom": [[5.299, 0.000, 0.000], [0.000, 5.299, 0.000], [0.000, 0.000, 5.299]], "species": ["Ca", "Pd", "Au", "Au", "Au"], "frac_coords": [[0.000, 0.000, 0.000], [0.500, 0.500, 0.500], [0.000, 0.000, 0.500], [0.000, 0.500, 0.000], [0.500, 0.000, 0.000]]}

---

Entry R
{"formula": "CaPdAu3", "functional": "PBE", "state": "optimized geometry", "volume_a3_per_cell": 207.3, "lattice_angstrom": [[2.788, -6.802, 0.000], [2.788, 6.802, 0.000], [0.000, 0.000, 5.464]], "species": ["Ca", "Ca", "Pd", "Pd", "Au", "Au", "Au", "Au", "Au", "Au"], "frac_coords": [[0.093, 0.907, 0.750], [0.907, 0.093, 0.250], [0.500, 0.500, 0.000], [0.500, 0.500, 0.500], [0.103, 0.391, 0.750], [0.321, 0.679, 0.250], [0.391, 0.103, 0.250], [0.609, 0.897, 0.750], [0.679, 0.321, 0.750], [0.897, 0.609, 0.250]]}

---

Top of the stability list: entry R, leading by 0.059 eV/atom.

---

Entry P
{"formula": "CaPd6Au2", "functional": "PBE", "state": "optimized geometry", "volume_a3_per_cell": 303.4, "lattice_angstrom": [[8.580, 0.000, 0.000], [0.000, 8.580, 0.000], [0.000, 0.000, 4.122]], "species": ["Ca", "Ca", "Pd", "Pd", "Pd", "Pd", "Pd", "Pd", "Pd", "Pd", "Pd", "Pd", "Pd", "Pd", "Au", "Au", "Au", "Au"], "frac_coords": [[0.000, 0.000, 0.000], [0.500, 0.500, 0.500], [0.002, 0.337, 0.000], [0.163, 0.502, 0.500], [0.169, 0.831, 0.500], [0.331, 0.331, 0.000], [0.337, 0.002, 0.000], [0.498, 0.837, 0.500], [0.502, 0.163, 0.500], [0.663, 0.998, 0.000], [0.669, 0.669, 0.000], [0.831, 0.169, 0.500], [0.837, 0.498, 0.500], [0.998, 0.663, 0.000], [0.174, 0.174, 0.500], [0.326, 0.674, 0.000], [0.674, 0.326, 0.000], [0.826, 0.826, 0.500]]}

---

Entry Q
{"formula": "CaPd6Au2", "functional": "PBE", "state": "optimized geometry", "volume_a3_per_cell": 184.0, "lattice_angstrom": [[5.432, 0.000, 0.000], [-2.716, 4.704, 0.000], [0.000, 0.000, 7.203]], "species": ["Ca", "Pd", "Pd", "Pd", "Pd", "Pd", "Pd", "Au", "Au"], "frac_coords": [[0.000, 0.000, 0.000], [0.000, 0.500, 0.185], [0.000, 0.500, 0.815], [0.500, 0.000, 0.185], [0.500, 0.000, 0.815], [0.500, 0.500, 0.185], [0.500, 0.500, 0.815], [0.333, 0.667, 0.500], [0.667, 0.333, 0.500]]}

---

Top of the stability list: entry P, leading by 0.226 eV/atom.

---

Entry P
{"formula": "Ca3PdAu2", "functional": "PBE", "state": "optimized geometry", "volume_a3_per_cell": 140.6, "lattice_angstrom": [[3.629, 0.000, 0.000], [0.000, 3.629, 0.000], [0.000, 0.000, 10.675]], "species": ["Ca", "Ca", "Ca", "Pd", "Au", "Au"], "frac_coords": [[0.000, 0.000, 0.000], [0.000, 0.000, 0.339], [0.000, 0.000, 0.661], [0.500, 0.500, 0.500], [0.500, 0.500, 0.171], [0.500, 0.500, 0.829]]}

---

Entry Q
{"formula": "Ca3PdAu2", "functional": "PBE", "state": "optimized geometry", "volume_a3_per_cell": 616.9, "lattice_angstrom": [[12.092, 0.000, 0.000], [0.000, 4.423, 0.000], [0.000, 0.000, 11.535]], "species": ["Ca", "Ca", "Ca", "Ca", "Ca", "Ca", "Ca", "Ca", "Ca", "Ca", "Ca", "Ca", "Pd", "Pd", "Pd", "Pd", "Au", "Au", "Au", "Au", "Au", "Au", "Au", "Au"], "frac_coords": [[0.042, 0.250, 0.127], [0.118, 0.750, 0.558], [0.229, 0.250, 0.798], [0.271, 0.750, 0.298], [0.382, 0.250, 0.058], [0.458, 0.750, 0.627], [0.542, 0.250, 0.373], [0.618, 0.750, 0.942], [0.729, 0.250, 0.702], [0.771, 0.750, 0.202], [0.882, 0.250, 0.442], [0.958, 0.750, 0.873], [0.126, 0.250, 0.377], [0.374, 0.750, 0.877], [0.626, 0.250, 0.123], [0.874, 0.750, 0.623], [0.001, 0.750, 0.307], [0.185, 0.750, 0.010], [0.315, 0.250, 0.510], [0.499, 0.250, 0.807], [0.501, 0.750, 0.193], [0.685, 0.750, 0.490], [0.815, 0.250, 0.990], [0.999, 0.250, 0.693]]}

---

Top of the stability list: entry P, leading by 0.011 eV/atom.

---

Entry P
{"formula": "CaSmPdAu", "functional": "PBE", "state": "optimized geometry", "volume_a3_per_cell": 98.5, "lattice_angstrom": [[4.518, 0.000, 0.000], [0.000, 1.969, 5.534], [0.000, -1.969, 5.534]], "species": ["Ca", "Sm", "Pd", "Au"], "frac_coords": [[0.000, 0.000, 0.000], [0.500, 0.277, 0.277], [0.000, 0.727, 0.727], [0.500, 0.559, 0.559]]}

---

Entry Q
{"formula": "CaSmPdAu", "functional": "PBE", "state": "optimized geometry", "volume_a3_per_cell": 93.5, "lattice_angstrom": [[0.000, 3.602, 3.602], [3.602, 0.000, 3.602], [3.602, 3.602, 0.000]], "species": ["Ca", "Sm", "Pd", "Au"], "frac_coords": [[0.000, 0.000, 0.000], [0.500, 0.500, 0.500], [0.750, 0.750, 0.750], [0.250, 0.250, 0.250]]}

---

Top of the stability list: entry P, leading by 0.029 eV/atom.

---

Entry P
{"formula": "CaThPdAu", "functional": "PBE", "state": "optimized geometry", "volume_a3_per_cell": 95.8, "lattice_angstrom": [[0.000, 3.632, 3.632], [3.632, 0.000, 3.632], [3.632, 3.632, 0.000]], "species": ["Ca", "Th", "Pd", "Au"], "frac_coords": [[0.000, 0.000, 0.000], [0.500, 0.500, 0.500], [0.250, 0.250, 0.250], [0.750, 0.750, 0.750]]}

---

Entry Q
{"formula": "CaThPdAu", "functional": "PBE", "state": "optimized geometry", "volume_a3_per_cell": 99.6, "lattice_angstrom": [[4.561, 0.000, 0.000], [0.000, 1.928, 5.660], [0.000, -1.928, 5.660]], "species": ["Ca", "Th", "Pd", "Au"], "frac_coords": [[0.000, 0.000, 0.000], [0.500, 0.725, 0.725], [0.000, 0.267, 0.267], [0.500, 0.445, 0.445]]}

---

Top of the stability list: entry Q, leading by 0.067 eV/atom.